# 1
Entry from Alexandria: Cs2SnO3 after structural relaxation (PBEsol).

Calculated values
Its raw total energy is -63.12 eV/cell. The value obtained for the raw formation energy is -1.612 eV per atom. Its density of states at the Fermi level is 0.00 states/eV per atom.

Lattice parameters (Å, degrees): 5.831 6.783 6.783 69.07 90.00 90.00
Fractional positions:
Cs  0.750  0.193  0.484
Cs  0.250  0.484  0.193
Cs  0.250  0.807  0.516
Cs  0.750  0.516  0.807
Sn  0.250  0.084  0.916
Sn  0.750  0.916  0.084
O  0.000  0.120  0.120
O  0.500  0.120  0.120
O  0.250  0.338  0.662
O  0.750  0.662  0.338
O  0.500  0.880  0.880
O  0.000  0.880  0.880



# 2
Entry from Alexandria: CsSr3O after structural relaxation (PBEsol).

Calculated values
Its raw total energy is -14.91 eV/cell. The value obtained for the raw formation energy is -0.639 eV per atom. Its density of states at the Fermi level is 0.88 states/eV per atom.

Lattice parameters (Å, degrees): 5.634 5.634 5.634 90.00 90.00 90.00
Fractional positions:
Cs  0.500  0.500  0.500
Sr  0.000  0.500  0.000
Sr  0.000  0.000  0.500
Sr  0.500  0.000  0.000
O  0.000  0.000  0.000



# 3
Entry from Alexandria: CsSrTeO2 after structural relaxation (PBEsol).

Calculated values
Its raw total energy is -20.02 eV/cell. The value obtained for the raw formation energy is -0.642 eV per atom. Its density of states at the Fermi level is 0.91 states/eV per atom.

Lattice parameters (Å, degrees): 4.981 4.981 6.376 90.00 90.00 90.00
Fractional positions:
Cs  0.500  0.500  0.500
Sr  0.000  0.000  0.000
Te  0.000  0.000  0.500
O  0.000  0.500  0.000
O  0.500  0.000  0.000



# 4
Entry from Alexandria: CsSrTlO2 after structural relaxation (PBEsol).

Calculated values
Its raw total energy is -15.18 eV/cell. The value obtained for the raw formation energy is 0.147 eV per atom. Its density of states at the Fermi level is 0.41 states/eV per atom.

Lattice parameters (Å, degrees): 4.727 4.727 5.836 90.00 90.00 90.00
Fractional positions:
Cs  0.000  0.000  0.500
Sr  0.500  0.500  0.500
Tl  0.000  0.000  0.000
O  0.000  0.500  0.000
O  0.500  0.000  0.000



# 5
Entry from Alexandria: Cs2SrV4O12 after structural relaxation (PBEsol).

Calculated values
Its raw total energy is -152.52 eV/cell. The value obtained for the raw formation energy is -2.488 eV per atom. Its density of states at the Fermi level is 0.00 states/eV per atom.

Lattice parameters (Å, degrees): 5.576 7.898 7.898 90.00 90.00 90.00
Fractional positions:
Cs  0.500  0.000  0.500
Cs  0.500  0.500  0.000
Sr  0.500  0.500  0.500
V  0.000  0.223  0.223
V  0.000  0.777  0.223
V  0.000  0.223  0.777
V  0.000  0.777  0.777
O  0.757  0.693  0.693
O  0.757  0.307  0.307
O  0.757  0.693  0.307
O  0.757  0.307  0.693
O  0.243  0.307  0.693
O  0.243  0.307  0.307
O  0.243  0.693  0.693
O  0.243  0.693  0.307
O  0.000  0.264  0.000
O  0.000  0.000  0.264
O  0.000  0.000  0.736
O  0.000  0.736  0.000



# 6
Entry from Alexandria: CsTaWO6 after structural relaxation (PBEsol).

Calculated values
Its raw total energy is -162.85 eV/cell. The value obtained for the raw formation energy is -2.514 eV per atom. Its density of states at the Fermi level is 0.00 states/eV per atom.

Lattice parameters (Å, degrees): 7.319 7.357 7.357 60.22 60.17 60.17
Fractional positions:
Cs  0.129  0.621  0.121
Cs  0.871  0.379  0.879
Ta  0.500  0.500  0.500
Ta  0.500  0.000  0.000
W  0.000  0.000  0.500
W  0.500  0.000  0.500
O  0.193  0.057  0.557
O  0.564  0.686  0.186
O  0.562  0.059  0.195
O  0.183  0.695  0.559
O  0.562  0.695  0.559
O  0.183  0.059  0.195
O  0.807  0.943  0.443
O  0.436  0.314  0.814
O  0.438  0.941  0.805
O  0.817  0.305  0.441
O  0.438  0.305  0.441
O  0.817  0.941  0.805



# 7
Entry from Alexandria: CsTbW2O8 after structural relaxation (PBEsol).

Calculated values
Its raw total energy is -212.16 eV/cell. The value obtained for the raw formation energy is -2.543 eV per atom. Its density of states at the Fermi level is 0.00 states/eV per atom.

Lattice parameters (Å, degrees): 7.518 7.541 7.541 90.67 117.34 62.66
Fractional positions:
Cs  0.750  0.802  0.802
Cs  0.250  0.198  0.198
Tb  0.750  0.227  0.227
Tb  0.250  0.773  0.773
W  0.775  0.689  0.302
W  0.225  0.311  0.698
W  0.725  0.302  0.689
W  0.275  0.698  0.311
O  0.562  0.752  0.379
O  0.438  0.248  0.621
O  0.938  0.379  0.752
O  0.062  0.621  0.248
O  0.872  0.065  0.620
O  0.128  0.935  0.380
O  0.628  0.620  0.065
O  0.372  0.380  0.935
O  0.968  0.371  0.414
O  0.032  0.629  0.586
O  0.532  0.414  0.371
O  0.468  0.586  0.629
O  0.700  0.950  0.215
O  0.300  0.050  0.785
O  0.800  0.215  0.950
O  0.200  0.785  0.050



# 8
Entry from Alexandria: CsTc2O2 after structural relaxation (PBEsol).

Calculated values
Its raw total energy is -36.03 eV/cell. The value obtained for the raw formation energy is -0.412 eV per atom. Its density of states at the Fermi level is 0.40 states/eV per atom.

Lattice parameters (Å, degrees): 3.591 3.591 6.876 105.14 105.14 90.00
Fractional positions:
Cs  0.000  0.000  0.000
Tc  0.250  0.750  0.500
Tc  0.750  0.250  0.500
O  0.341  0.341  0.682
O  0.659  0.659  0.318



Which of these has the lowest raw formation energy? CsTbW2O8



The highest raw formation energy belongs to which entry? CsSrTlO2



What did the fourth record say?
Entry from Alexandria: CsSrTlO2 after structural relaxation (PBEsol).

Calculated values
Its raw total energy is -15.18 eV/cell. The value obtained for the raw formation energy is 0.147 eV per atom. Its density of states at the Fermi level is 0.41 states/eV per atom.

Lattice parameters (Å, degrees): 4.727 4.727 5.836 90.00 90.00 90.00
Fractional positions:
Cs  0.000  0.000  0.500
Sr  0.500  0.500  0.500
Tl  0.000  0.000  0.000
O  0.000  0.500  0.000
O  0.500  0.000  0.000